1.
Compound: Pm3NdTc
Source: Alexandria via LeMat-Bulk
Functional: PBE
Structure: relaxed

The structure belongs to space group Cm (No. 8); the cell edges are 12.411, 4.011 and 13.199 Å and the angles 90.00°, 111.97° and 90.00°. The inequivalent atoms are Pm at (0.000, 0.000, 0.000), Pm at (0.023, 0.000, 0.374), Pm at (0.163, 0.500, 0.239), Pm at (0.189, 0.500, 0.611), Pm at (0.354, 0.000, 0.474), Pm at (0.467, 0.000, 0.751), Nd at (0.223, 0.000, 0.859), Nd at (0.334, 0.000, 0.138), Tc at (0.026, 0.000, 0.611) and Tc at (0.161, 0.500, 0.998).

The formation energy comes out at 0.03 eV per atom. The value obtained for the mass density is 7.4 g cm⁻³. The value obtained for the total magnetic moment is 0.000 μB/cell.

***

2.
Compound: Pm3NdTc
Source: Alexandria via LeMat-Bulk
Functional: PBE
Structure: relaxed

The structure belongs to space group Pm-3m (No. 221); the cell edges are 5.507, 5.507 and 5.507 Å and the angles 90.00°, 90.00° and 90.00°. The inequivalent atoms are Pm at (0.000, 0.000, 0.500), Nd at (0.500, 0.500, 0.500) and Tc at (0.000, 0.000, 0.000).

The formation energy comes out at 0.18 eV per atom. The value obtained for the mass density is 6.7 g cm⁻³. The value obtained for the total magnetic moment is 0.683 μB/cell.

***

3.
Compound: PmNdTc4
Source: Alexandria via LeMat-Bulk
Functional: PBE
Structure: relaxed

The structure belongs to space group F-43m (No. 216); the cell edges are 7.755, 7.755 and 7.755 Å and the angles 90.00°, 90.00° and 90.00°. The inequivalent atoms are Pm at (0.000, 0.000, 0.000), Nd at (0.250, 0.250, 0.250) and Tc at (0.125, 0.125, 0.625).

The formation energy comes out at 0.04 eV per atom. The value obtained for the mass density is 9.7 g cm⁻³. The value obtained for the total magnetic moment is 0.146 μB/cell.

***

4.
Compound: PmNd2Tc9
Source: Alexandria via LeMat-Bulk
Functional: PBE
Structure: relaxed

The structure belongs to space group C2/m (No. 12); the cell edges are 9.853, 5.268 and 9.456 Å and the angles 90.00°, 113.45° and 90.00°. The inequivalent atoms are Pm at (0.000, 0.000, 0.000), Nd at (0.142, 0.000, 0.428), Tc at (0.000, 0.500, 0.500), Tc at (0.074, 0.500, 0.226), Tc at (0.171, 0.243, 0.748) and Tc at (0.185, 0.500, 0.987).

The formation energy comes out at 0.07 eV per atom. The value obtained for the mass density is 9.7 g cm⁻³. The value obtained for the total magnetic moment is 0.000 μB/cell.

***

5.
Compound: PmNdTc
Source: Alexandria via LeMat-Bulk
Functional: PBE
Structure: relaxed

The structure belongs to space group I4mm (No. 107); the cell edges are 3.531, 3.531 and 13.271 Å and the angles 90.00°, 90.00° and 90.00°. The inequivalent atoms are Pm at (0.000, 0.000, 0.000), Nd at (0.000, 0.000, 0.746) and Tc at (0.000, 0.000, 0.374).

The formation energy comes out at 0.10 eV per atom. The value obtained for the mass density is 7.8 g cm⁻³. The value obtained for the total magnetic moment is 0.000 μB/cell.

***

6.
Compound: Pm2Nd2Tc
Source: Alexandria via LeMat-Bulk
Functional: PBE
Structure: relaxed

The structure belongs to space group C2/m (No. 12); the cell edges are 7.621, 12.309 and 7.466 Å and the angles 90.00°, 116.07° and 90.00°. The inequivalent atoms are Pm at (0.044, 0.226, 0.253), Nd at (0.225, 0.500, 0.904), Nd at (0.240, 0.000, 0.587) and Tc at (0.000, 0.373, 0.500).

The formation energy comes out at 0.05 eV per atom. The value obtained for the mass density is 7.1 g cm⁻³. The value obtained for the total magnetic moment is 0.000 μB/cell.

***

7.
Compound: Pm4NdTc
Source: Alexandria via LeMat-Bulk
Functional: PBE
Structure: relaxed

The structure belongs to space group C2/m (No. 12); the cell edges are 17.544, 7.770 and 6.031 Å and the angles 90.00°, 109.80° and 90.00°. The inequivalent atoms are Pm at (0.000, 0.216, 0.000), Pm at (0.119, 0.237, 0.618), Pm at (0.172, 0.500, 0.166), Nd at (0.197, 0.000, 0.210) and Tc at (0.022, 0.500, 0.712).

The formation energy comes out at 0.07 eV per atom. The value obtained for the mass density is 7.1 g cm⁻³. The value obtained for the total magnetic moment is 0.000 μB/cell.

***

8.
Compound: PmNdZnTc
Source: Alexandria via LeMat-Bulk
Functional: PBE
Structure: relaxed

The structure belongs to space group F-43m (No. 216); the cell edges are 7.173, 7.173 and 7.173 Å and the angles 90.00°, 90.00° and 90.00°. The inequivalent atoms are Pm at (0.000, 0.000, 0.000), Nd at (0.000, 0.000, 0.500), Zn at (0.250, 0.250, 0.750) and Tc at (0.250, 0.250, 0.250).

The formation energy comes out at -0.03 eV per atom. The value obtained for the mass density is 8.1 g cm⁻³. The value obtained for the total magnetic moment is 0.000 μB/cell.

***

9.
Compound: Pm2Nd3Te6
Source: Alexandria via LeMat-Bulk
Functional: PBE
Structure: relaxed

The structure belongs to space group R-3m (No. 166, hexagonal axes); the cell edges are 4.4975, 4.4975 and 65.8368 Å and the angles 90.00°, 90.00° and 120.00°. The inequivalent atoms are Pm at (0.0000, 0.0000, 0.0520), Nd at (0.0000, 0.0000, 0.2218), Nd at (0.0000, 0.0000, 0.5000), Te at (0.0000, 0.0000, 0.1389), Te at (0.0000, 0.0000, 0.3060) and Te at (0.0000, 0.0000, 0.4158).

The uncorrected formation energy comes out at -1.398 eV per atom. The value obtained for the mass density is 6.4 g cm⁻³. The value obtained for the total magnetic moment is 0.000 μB/cell.

***

10.
Compound: PmNd2Te
Source: Alexandria via LeMat-Bulk
Functional: PBE
Structure: relaxed

The structure belongs to space group P4/mmm (No. 123); the cell edges are 3.980, 3.980 and 8.102 Å and the angles 90.00°, 90.00° and 90.00°. The inequivalent atoms are Pm at (0.000, 0.000, 0.000), Nd at (0.500, 0.500, 0.280) and Te at (0.000, 0.000, 0.500).

The uncorrected formation energy comes out at -0.588 eV per atom. The value obtained for the mass density is 7.3 g cm⁻³. The value obtained for the total magnetic moment is 0.000 μB/cell.

***

11.
Compound: Pm2Nd3Te6
Source: Alexandria via LeMat-Bulk
Functional: PBE
Structure: relaxed

The structure belongs to space group C2/m (No. 12); the cell edges are 7.740, 13.348 and 7.709 Å and the angles 90.00°, 109.59° and 90.00°. The inequivalent atoms are Pm at (0.000, 0.165, 0.000), Nd at (0.000, 0.000, 0.500), Nd at (0.000, 0.331, 0.500), Te at (0.242, 0.338, 0.241) and Te at (0.242, 0.500, 0.758).

The uncorrected formation energy comes out at -1.472 eV per atom. The value obtained for the mass density is 6.6 g cm⁻³. The value obtained for the total magnetic moment is 0.000 μB/cell.

***

12.
Compound: PmNdTe
Source: Alexandria via LeMat-Bulk
Functional: PBE
Structure: relaxed

The structure belongs to space group I4mm (No. 107); the cell edges are 3.995, 3.995 and 11.871 Å and the angles 90.00°, 90.00° and 90.00°. The inequivalent atoms are Pm at (0.000, 0.000, 0.000), Nd at (0.000, 0.000, 0.695) and Te at (0.000, 0.000, 0.351).

The uncorrected formation energy comes out at -0.785 eV per atom. The value obtained for the mass density is 7.3 g cm⁻³. The value obtained for the total magnetic moment is 0.000 μB/cell.

***

13.
Compound: Pm5NdTe6
Source: Alexandria via LeMat-Bulk
Functional: PBE
Structure: relaxed

The structure belongs to space group C2/m (No. 12); the cell edges are 7.734, 13.467 and 7.731 Å and the angles 90.00°, 109.66° and 90.00°. The inequivalent atoms are Pm at (0.000, 0.000, 0.000), Pm at (0.000, 0.166, 0.500), Pm at (0.000, 0.335, 0.000), Nd at (0.000, 0.500, 0.500), Te at (0.248, 0.000, 0.750) and Te at (0.249, 0.168, 0.249).

The uncorrected formation energy comes out at -1.412 eV per atom. The value obtained for the mass density is 7.2 g cm⁻³. The value obtained for the total magnetic moment is 0.000 μB/cell.

***

14.
Compound: Pm4Nd3Te8
Source: Alexandria via LeMat-Bulk
Functional: PBE
Structure: relaxed

The structure belongs to space group C2/m (No. 12); the cell edges are 12.626, 12.627 and 8.926 Å and the angles 90.00°, 134.98° and 90.00°. The inequivalent atoms are Pm at (0.000, 0.000, 0.000), Pm at (0.000, 0.000, 0.500), Pm at (0.250, 0.250, 0.000), Nd at (0.000, 0.500, 0.500), Nd at (0.250, 0.250, 0.500), Te at (0.000, 0.249, 0.500), Te at (0.000, 0.255, 0.000), Te at (0.246, 0.500, 0.002) and Te at (0.246, 0.500, 0.490).

The uncorrected formation energy comes out at -1.456 eV per atom. The value obtained for the mass density is 6.7 g cm⁻³. The value obtained for the total magnetic moment is 0.000 μB/cell.

***

15.
Compound: PmNd2Te
Source: Alexandria via LeMat-Bulk
Functional: PBE
Structure: relaxed

The structure belongs to space group Cmcm (No. 63); the cell edges are 4.085, 12.322 and 10.280 Å and the angles 90.00°, 90.00° and 90.00°. The inequivalent atoms are Pm at (0.000, 0.060, 0.250), Nd at (0.000, 0.364, 0.037) and Te at (0.000, 0.233, 0.750).

The uncorrected formation energy comes out at -0.690 eV per atom. The value obtained for the mass density is 7.2 g cm⁻³. The value obtained for the total magnetic moment is 0.000 μB/cell.

***

16.
Compound: Pm2Nd2Te5
Source: Alexandria via LeMat-Bulk
Functional: PBE
Structure: relaxed

The structure belongs to space group Ima2 (No. 46); the cell edges are 18.743, 7.883 and 8.465 Å and the angles 90.00°, 90.00° and 90.00°. The inequivalent atoms are Pm at (0.000, 0.000, 0.000), Pm at (0.250, 0.031, 0.230), Nd at (0.103, 0.005, 0.603), Te at (0.064, 0.687, 0.794), Te at (0.153, 0.165, 0.932) and Te at (0.250, 0.676, 0.051).

The uncorrected formation energy comes out at -1.260 eV per atom. The value obtained for the mass density is 6.5 g cm⁻³. The value obtained for the total magnetic moment is 0.001 μB/cell.

***

17.
Compound: PmNd5Te8
Source: Alexandria via LeMat-Bulk
Functional: PBE
Structure: relaxed

The structure belongs to space group I-4 (No. 82); the cell edges are 9.561, 9.561 and 9.492 Å and the angles 90.00°, 90.00° and 90.00°. The inequivalent atoms are Pm at (0.000, 0.000, 0.000), Nd at (0.000, 0.500, 0.250), Nd at (0.131, 0.250, 0.625), Te at (0.074, 0.174, 0.300) and Te at (0.074, 0.325, 0.950).

The uncorrected formation energy comes out at -1.425 eV per atom. The value obtained for the mass density is 7.2 g cm⁻³. The value obtained for the total magnetic moment is 0.000 μB/cell.

***

18.
Compound: PmNdTe2
Source: Alexandria via LeMat-Bulk
Functional: PBE
Structure: relaxed

The structure belongs to space group P6_3/mmc (No. 194); the cell edges are 4.3758, 4.3758 and 15.3775 Å and the angles 90.00°, 90.00° and 120.00°. The inequivalent atoms are Pm at (0.3333, 0.6667, 0.2500), Nd at (0.0000, 0.0000, 0.0000) and Te at (0.3333, 0.6667, 0.6248).

The uncorrected formation energy comes out at -1.402 eV per atom. The value obtained for the mass density is 7.1 g cm⁻³. The value obtained for the total magnetic moment is 0.000 μB/cell.

***

19.
Compound: Pm6NdTe8
Source: Alexandria via LeMat-Bulk
Functional: PBE
Structure: relaxed

The structure belongs to space group R-3 (No. 148, hexagonal axes); the cell edges are 9.4660, 9.4660 and 18.9599 Å and the angles 90.00°, 90.00° and 120.00°. The inequivalent atoms are Pm at (0.0046, 0.6216, 0.0767), Nd at (0.0000, 0.0000, 0.0000), Te at (0.0000, 0.0000, 0.3262) and Te at (0.0049, 0.2814, 0.0915).

The uncorrected formation energy comes out at -1.338 eV per atom. The value obtained for the mass density is 6.9 g cm⁻³. The value obtained for the total magnetic moment is 0.000 μB/cell.

***

20.
Compound: PmNd3Te6
Source: Alexandria via LeMat-Bulk
Functional: PBE
Structure: relaxed

The structure belongs to space group P2_1/m (No. 11); the cell edges are 12.754, 4.476 and 13.134 Å and the angles 90.00°, 109.20° and 90.00°. The inequivalent atoms are Pm at (0.044, 0.250, 0.193), Nd at (0.156, 0.250, 0.579), Nd at (0.317, 0.750, 0.997), Nd at (0.428, 0.250, 0.332), Te at (0.085, 0.750, 0.397), Te at (0.110, 0.250, 0.967), Te at (0.189, 0.750, 0.751), Te at (0.248, 0.750, 0.218), Te at (0.395, 0.250, 0.563) and Te at (0.486, 0.250, 0.119).

The uncorrected formation energy comes out at -1.420 eV per atom. The value obtained for the mass density is 6.3 g cm⁻³. The value obtained for the total magnetic moment is 0.000 μB/cell.

***

21.
Compound: Pm6NdTe8
Source: Alexandria via LeMat-Bulk
Functional: PBE
Structure: relaxed

The structure belongs to space group Fm-3m (No. 225); the cell edges are 12.588, 12.588 and 12.588 Å and the angles 90.00°, 90.00° and 90.00°. The inequivalent atoms are Pm at (0.000, 0.250, 0.250), Nd at (0.000, 0.000, 0.000), Te at (0.000, 0.000, 0.257) and Te at (0.250, 0.250, 0.250).

The uncorrected formation energy comes out at -1.453 eV per atom. The value obtained for the mass density is 6.8 g cm⁻³. The value obtained for the total magnetic moment is 0.000 μB/cell.

***

22.
Compound: PmNd2Te
Source: Alexandria via LeMat-Bulk
Functional: PBE
Structure: relaxed

The structure belongs to space group R-3m (No. 166, hexagonal axes); the cell edges are 3.9774, 3.9774 and 30.5710 Å and the angles 90.00°, 90.00° and 120.00°. The inequivalent atoms are Pm at (0.0000, 0.0000, 0.0000), Nd at (0.0000, 0.0000, 0.2380) and Te at (0.0000, 0.0000, 0.5000).

The uncorrected formation energy comes out at -0.554 eV per atom. The value obtained for the mass density is 6.7 g cm⁻³. The value obtained for the total magnetic moment is 0.000 μB/cell.

***

| no. | DFT total energy (eV for the cell shown) |
| --- | --- |
| 1 | -116.98 |
| 2 | -28.48 |
| 3 | -203.06 |
| 4 | -213.51 |
| 5 | -39.18 |
| 6 | -116.61 |
| 7 | -134.81 |
| 8 | -85.07 |
| 9 | -174.09 |
| 10 | -19.78 |
| 11 | -117.70 |
| 12 | -30.03 |
| 13 | -128.63 |
| 14 | -160.55 |
| 15 | -80.75 |
| 16 | -184.35 |
| 17 | -147.33 |
| 18 | -42.82 |
| 19 | -235.44 |
| 20 | -104.20 |
| 21 | -320.81 |
| 22 | -58.93 |